No. 1
Ta2TcBi4: optimized geometry, PBE.

Structure (CIF):
```
data_Ta2TcBi4
_chemical_formula_sum 'Ta4 Tc2 Bi8'
_cell_length_a 5.387
_cell_length_b 5.387
_cell_length_c 13.832
_cell_angle_alpha 90.00
_cell_angle_beta 90.00
_cell_angle_gamma 90.00
_symmetry_space_group_name_H-M 'P 1'
_symmetry_Int_Tables_number 1
loop_
_symmetry_equiv_pos_as_xyz
'x,y,z'
loop_
_atom_site_label
_atom_site_fract_x
_atom_site_fract_y
_atom_site_fract_z
_atom_site_occupancy
Ta1 0.000 0.000 0.094 1
Ta2 0.000 0.000 0.906 1
Ta3 0.500 0.500 0.406 1
Ta4 0.500 0.500 0.594 1
Tc1 0.000 0.000 0.500 1
Tc2 0.500 0.500 0.000 1
Bi1 0.000 0.000 0.300 1
Bi2 0.000 0.000 0.700 1
Bi3 0.000 0.500 0.000 1
Bi4 0.000 0.500 0.500 1
Bi5 0.500 0.000 0.000 1
Bi6 0.500 0.000 0.500 1
Bi7 0.500 0.500 0.200 1
Bi8 0.500 0.500 0.800 1
```

## Properties
Formation enthalpy at 0 K (eV/atom): 1.05
Uncorrected energy (eV for the cell shown): -84.43
Theoretical density (g cm⁻³): 10.720

No. 2
Sr2SiRhI: optimized geometry, PBE.

Structure (CIF):
```
data_Sr2SiRhI
_chemical_formula_sum 'Sr2 Si1 Rh1 I1'
_cell_length_a 5.969
_cell_length_b 5.969
_cell_length_c 4.518
_cell_angle_alpha 90.00
_cell_angle_beta 90.00
_cell_angle_gamma 90.00
_symmetry_space_group_name_H-M 'P 1'
_symmetry_Int_Tables_number 1
loop_
_symmetry_equiv_pos_as_xyz
'x,y,z'
loop_
_atom_site_label
_atom_site_fract_x
_atom_site_fract_y
_atom_site_fract_z
_atom_site_occupancy
Sr1 0.000 0.500 0.000 1
Sr2 0.500 0.000 0.000 1
Si1 0.000 0.000 0.500 1
Rh1 0.000 0.000 0.000 1
I1 0.500 0.500 0.500 1
```

## Properties
Uncorrected energy (eV for the cell shown): -21.48
Theoretical density (g cm⁻³): 4.468

No. 3
BaReB2O8: optimized geometry, PBE.

Structure (CIF):
```
data_BaReB2O8
_chemical_formula_sum 'Ba1 Re1 B2 O8'
_cell_length_a 4.824
_cell_length_b 4.824
_cell_length_c 7.612
_cell_angle_alpha 99.16
_cell_angle_beta 99.16
_cell_angle_gamma 63.19
_symmetry_space_group_name_H-M 'P 1'
_symmetry_Int_Tables_number 1
loop_
_symmetry_equiv_pos_as_xyz
'x,y,z'
loop_
_atom_site_label
_atom_site_fract_x
_atom_site_fract_y
_atom_site_fract_z
_atom_site_occupancy
Ba1 0.000 0.000 0.000 1
Re1 0.000 0.000 0.500 1
B1 0.385 0.385 0.710 1
B2 0.615 0.615 0.290 1
O1 0.226 0.226 0.582 1
O2 0.243 0.718 0.674 1
O3 0.282 0.757 0.326 1
O4 0.351 0.351 0.888 1
O5 0.649 0.649 0.112 1
O6 0.718 0.243 0.674 1
O7 0.757 0.282 0.326 1
O8 0.774 0.774 0.418 1
```

## Properties
Uncorrected energy (eV for the cell shown): -91.14
Theoretical density (g cm⁻³): 5.059

Question: The highest theoretical density belongs to which entry?
Answer: Ta2TcBi4

Question: Look up the uncorrected energy of the second one.
Answer: -21.48 eV for the cell shown